# 1
DFT (GGA-PBE) results for a geometry-optimized ZrTiNi2Ge structure.

```
ZrTiNi2Ge
1.0
4.323 0.000 0.000
0.000 4.323 0.000
0.000 0.000 4.688
Zr Ti Ni Ge
1 1 2 1
Direct
0.000 0.000 0.000
0.500 0.500 0.000
0.000 0.500 0.500
0.500 0.000 0.500
0.500 0.500 0.500
```

Properties
total magnetization: 0.0 μB/f.u.
energy relative to the elements: 0.227 eV per atom
crystal system: tetragonal
DOS(E_F): 4.245 states/eV/cell

=====

# 2
DFT (GGA-PBE) results for a geometry-optimized Tl2NiGe2 structure.

```
Tl2NiGe2
1.0
-1.788 1.788 8.787
1.788 -1.788 8.787
1.788 1.788 -8.787
Tl Ni Ge
2 1 2
Direct
0.088 0.088 0.000
0.912 0.912 0.000
0.500 0.500 0.000
0.250 0.750 0.500
0.750 0.250 0.500
```

Properties
energy above the lowest structure with this stoichiometry: 304 meV/atom
total magnetization: 0.0 μB/f.u.
energy relative to the elements: 0.424 eV per atom
crystal system: tetragonal
DOS(E_F): 3.513 states/eV/cell

=====

# 3
DFT (GGA-PBE) results for a geometry-optimized Tl3NiGe structure.

```
Tl3NiGe
1.0
5.480 0.000 0.000
0.000 5.480 0.000
0.000 0.000 5.480
Tl Ni Ge
3 1 1
Direct
0.000 0.000 0.500
0.000 0.500 0.000
0.500 0.000 0.000
0.500 0.500 0.500
0.000 0.000 0.000
```

Properties
energy above the lowest structure with this stoichiometry: 530 meV/atom
total magnetization: 0.0 μB/f.u.
energy relative to the elements: 0.889 eV per atom
crystal system: cubic
DOS(E_F): 5.309 states/eV/cell

=====

# 4
DFT (GGA-PBE) results for a geometry-optimized TlNiGe2 structure.

```
TlNiGe2
1.0
-2.382 2.382 7.715
2.382 -2.382 7.715
2.382 2.382 -7.715
Tl Ni Ge
2 2 4
Direct
0.000 0.000 0.000
0.750 0.250 0.500
0.250 0.750 0.500
0.500 0.500 0.000
0.242 0.625 0.117
0.375 0.492 0.617
0.508 0.125 0.883
0.875 0.758 0.383
```

Properties
energy above the lowest structure with this stoichiometry: 125 meV/atom
total magnetization: 0.0 μB/f.u.
energy relative to the elements: 0.221 eV per atom
crystal system: tetragonal
DOS(E_F): 7.540 states/eV/cell